Arrangement A

The following is a PBE-GGA calculation of a relaxed structure of K2TlCuCl6, from OQMD via LeMat-Bulk.

```
data_K2TlCuCl6
_chemical_formula_sum 'K4 Tl2 Cu2 Cl12'
_cell_length_a 7.112
_cell_length_b 7.168
_cell_length_c 12.396
_cell_angle_alpha 90.00
_cell_angle_beta 124.78
_cell_angle_gamma 90.00
_space_group_name_H-M_alt 'P 1 21/c 1'
_space_group_IT_number 14
loop_
_space_group_symop_operation_xyz
'x,y,z'
'-x,-y,-z'
'-x,y+1/2,-z+1/2'
'x,-y+1/2,z+1/2'
loop_
_atom_site_label
_atom_site_fract_x
_atom_site_fract_y
_atom_site_fract_z
K1 0.240 0.046 0.248
Tl1 0.500 0.000 0.000
Cu1 0.000 0.000 0.500
Cl1 0.159 0.218 0.967
Cl2 0.248 0.693 0.967
Cl3 0.304 0.007 0.739
```

***

Arrangement B

The following is a PBE-GGA calculation of a relaxed structure of K2TlCuCl6, from OQMD via LeMat-Bulk.

```
data_K2TlCuCl6
_chemical_formula_sum 'K8 Tl4 Cu4 Cl24'
_cell_length_a 13.611
_cell_length_b 11.999
_cell_length_c 6.985
_cell_angle_alpha 90.00
_cell_angle_beta 108.87
_cell_angle_gamma 90.00
_space_group_name_H-M_alt 'C 1 2/c 1'
_space_group_IT_number 15
loop_
_space_group_symop_operation_xyz
'x,y,z'
'-x,-y,-z'
'-x,y,-z+1/2'
'x,-y,z+1/2'
'x+1/2,y+1/2,z'
'-x+1/2,-y+1/2,-z'
'-x+1/2,y+1/2,-z+1/2'
'x+1/2,-y+1/2,z+1/2'
loop_
_atom_site_label
_atom_site_fract_x
_atom_site_fract_y
_atom_site_fract_z
K1 0.190 0.184 0.230
Tl1 0.000 0.477 0.750
Cu1 0.000 0.011 0.750
Cl1 0.068 0.332 0.498
Cl2 0.111 0.058 0.571
Cl3 0.178 0.413 0.023
```

***

Of them, the most stable is arrangement A and the least stable is arrangement B.

***

Arrangement A

The following is a PBE-GGA calculation of a relaxed structure of Cu3SCl, from OQMD via LeMat-Bulk.

```
data_Cu3SCl
_chemical_formula_sum 'Cu24 S8 Cl8'
_cell_length_a 8.490
_cell_length_b 8.659
_cell_length_c 8.799
_cell_angle_alpha 90.00
_cell_angle_beta 90.00
_cell_angle_gamma 90.00
_space_group_name_H-M_alt 'C m c m'
_space_group_IT_number 63
_space_group_name_Hall '-C 2c 2'
loop_
_atom_site_label
_atom_site_fract_x
_atom_site_fract_y
_atom_site_fract_z
Cu1 0.000 0.227 0.094
Cu2 0.159 0.500 0.000
Cu3 0.229 0.182 0.750
S1 0.250 0.250 0.000
Cl1 0.000 0.008 0.750
Cl2 0.000 0.466 0.750
```

***

Arrangement B

The following is a PBE-GGA calculation of a relaxed structure of Cu3SCl, from OQMD via LeMat-Bulk.

```
data_Cu3SCl
_chemical_formula_sum 'Cu9 S3 Cl3'
_cell_length_a 6.0207
_cell_length_b 6.0207
_cell_length_c 7.8698
_cell_angle_alpha 90.00
_cell_angle_beta 90.00
_cell_angle_gamma 120.00
_space_group_name_H-M_alt 'R 3'
_space_group_IT_number 146
_space_group_name_Hall 'R 3'
loop_
_atom_site_label
_atom_site_fract_x
_atom_site_fract_y
_atom_site_fract_z
Cu1 0.0348 0.7581 0.0000
S1 0.0000 0.0000 0.2127
Cl1 0.0000 0.0000 0.6705
```

***

Of them, the most stable is arrangement B and the least stable is arrangement A.

***

Arrangement A

The following is a PBE-GGA calculation of a relaxed structure of TlCu2Cl3, from OQMD via LeMat-Bulk.

```
data_TlCu2Cl3
_chemical_formula_sum 'Tl4 Cu8 Cl12'
_cell_length_a 9.118
_cell_length_b 12.140
_cell_length_c 5.232
_cell_angle_alpha 90.00
_cell_angle_beta 90.00
_cell_angle_gamma 90.00
_space_group_name_H-M_alt 'C m c m'
_space_group_IT_number 63
_space_group_name_Hall '-C 2c 2'
loop_
_atom_site_label
_atom_site_fract_x
_atom_site_fract_y
_atom_site_fract_z
Tl1 0.000 0.198 0.250
Cu1 0.189 0.500 0.000
Cl1 0.000 0.394 0.750
Cl2 0.215 0.135 0.750
```

***

Arrangement B

The following is a PBE-GGA calculation of a relaxed structure of TlCu2Cl3, from OQMD via LeMat-Bulk.

```
data_TlCu2Cl3
_chemical_formula_sum 'Tl2 Cu4 Cl6'
_cell_length_a 7.544
_cell_length_b 5.230
_cell_length_c 8.003
_cell_angle_alpha 90.00
_cell_angle_beta 110.09
_cell_angle_gamma 90.00
_space_group_name_H-M_alt 'P 1 21/m 1'
_space_group_IT_number 11
loop_
_space_group_symop_operation_xyz
'x,y,z'
'-x,-y,-z'
'-x,y+1/2,-z'
'x,-y+1/2,z'
loop_
_atom_site_label
_atom_site_fract_x
_atom_site_fract_y
_atom_site_fract_z
Tl1 0.172 0.250 0.361
Cu1 0.379 0.002 0.835
Cl1 0.102 0.250 0.739
Cl2 0.332 0.750 0.073
Cl3 0.394 0.750 0.602
```

***

Of them, the most stable is arrangement A and the least stable is arrangement B.